Zr2SbRh | PBE | relaxed

The structure in CIF format:
```
data_Zr2SbRh
_chemical_formula_sum 'Zr2 Sb1 Rh1'
_symmetry_space_group_name_H-M 'P 1'
_symmetry_Int_Tables_number 1
_cell_length_a 3.6806
_cell_length_b 3.6955
_cell_length_c 5.9236
_cell_angle_alpha 90.00
_cell_angle_beta 90.28
_cell_angle_gamma 90.00
loop_
_symmetry_equiv_pos_as_xyz
'x,y,z'
loop_
_atom_site_label
_atom_site_fract_x
_atom_site_fract_y
_atom_site_fract_z
Zr1 0.0016 0.0000 0.2583
Zr2 0.9984 0.0000 0.7417
Sb1 0.5000 0.5000 0.0000
Rh1 0.5000 0.5000 0.5000
```

Results
E_form (uncorrected): -0.560 eV/atom
Calculated volume: 81 Å³/f.u.
E_tot: -7.70 eV/atom